LiInSiRu2: optimized geometry, GGA-PBE.

a b c (Å): 4.273 4.273 4.196
angles (deg): 90.00 90.00 90.00
Space group P4/mmm (No. 123)
Unique sites:
Li (0.000, 0.000, 0.000) x1
In (0.000, 0.000, 0.500) x1
Si (0.500, 0.500, 0.500) x1
Ru (0.000, 0.500, 0.000) x2

Calculated values
Uncorrected formation energy (eV/atom): 0.9228
Magnetic moment (μB/f.u.): 0.00

***

Na2ErPuO6: optimized geometry, GGA-PBE.

a b c (Å): 5.8060 5.8060 14.4173
angles (deg): 90.00 90.00 120.00
Space group R3 (No. 146, hexagonal axes)
Unique sites:
Na (0.0000, 0.0000, 0.0000) x3
Na (0.0000, 0.0000, 0.4830) x3
Er (0.0000, 0.0000, 0.7411) x3
Pu (0.0000, 0.0000, 0.2411) x3
O (0.0221, 0.4216, 0.9884) x9
O (0.0882, 0.7326, 0.8270) x9

Calculated values
Uncorrected formation energy (eV/atom): -2.5284
Magnetic moment (μB/f.u.): 1.00

***

- Among the records above, which one has the highest uncorrected formation energy?
  LiInSiRu2